[1]
Computed, not measured: a crystal of YBeSi2 relaxed with PBEsol at the meta-GGA SCAN level of DFT.

```
data_YBeSi2
_space_group_name_H-M_alt 'P 1'
_space_group_IT_number 1
_space_group_name_Hall 'P 1'
_cell_length_a 3.948
_cell_length_b 3.948
_cell_length_c 5.325
_cell_angle_alpha 111.71
_cell_angle_beta 111.71
_cell_angle_gamma 59.81
loop_
_atom_site_label
_atom_site_type_symbol
_atom_site_fract_x
_atom_site_fract_y
_atom_site_fract_z
_atom_site_occupancy
Y1 Y 0.000 0.000 0.000 1
Be1 Be 0.500 0.500 0.500 1
Si1 Si 0.206 0.206 0.619 1
Si2 Si 0.794 0.794 0.381 1
```

Computed properties:
- Space group: C2/m, No. 12

=====

[2]
Computed, not measured: a crystal of ZrBeSi2 relaxed with PBEsol at the meta-GGA SCAN level of DFT.

```
data_ZrBeSi2
_space_group_name_H-M_alt 'P 1'
_space_group_IT_number 1
_space_group_name_Hall 'P 1'
_cell_length_a 5.438
_cell_length_b 5.438
_cell_length_c 5.438
_cell_angle_alpha 103.79
_cell_angle_beta 103.79
_cell_angle_gamma 121.55
loop_
_atom_site_label
_atom_site_type_symbol
_atom_site_fract_x
_atom_site_fract_y
_atom_site_fract_z
_atom_site_occupancy
Zr1 Zr 0.000 0.000 0.000 1
Zr2 Zr 0.750 0.250 0.500 1
Be1 Be 0.250 0.750 0.500 1
Be2 Be 0.500 0.500 0.000 1
Si1 Si 0.183 0.125 0.558 1
Si2 Si 0.375 0.817 0.942 1
Si3 Si 0.567 0.625 0.442 1
Si4 Si 0.875 0.433 0.058 1
```

Computed properties:
- Space group: I-42d, No. 122

=====

[3]
Computed, not measured: a crystal of ZrBeSi2 relaxed with PBEsol at the meta-GGA SCAN level of DFT.

```
data_ZrBeSi2
_space_group_name_H-M_alt 'P 1'
_space_group_IT_number 1
_space_group_name_Hall 'P 1'
_cell_length_a 3.876
_cell_length_b 3.876
_cell_length_c 3.771
_cell_angle_alpha 90.00
_cell_angle_beta 90.00
_cell_angle_gamma 90.00
loop_
_atom_site_label
_atom_site_type_symbol
_atom_site_fract_x
_atom_site_fract_y
_atom_site_fract_z
_atom_site_occupancy
Zr1 Zr 0.000 0.000 0.000 1
Be1 Be 0.500 0.500 0.000 1
Si1 Si 0.000 0.500 0.500 1
Si2 Si 0.500 0.000 0.500 1
```

Computed properties:
- Space group: P4/mmm, No. 123

=====

[4]
Computed, not measured: a crystal of ZrBe2Si relaxed with PBEsol at the meta-GGA SCAN level of DFT.

```
data_ZrBe2Si
_space_group_name_H-M_alt 'P 1'
_space_group_IT_number 1
_space_group_name_Hall 'P 1'
_cell_length_a 4.228
_cell_length_b 4.228
_cell_length_c 4.228
_cell_angle_alpha 60.00
_cell_angle_beta 60.00
_cell_angle_gamma 60.00
loop_
_atom_site_label
_atom_site_type_symbol
_atom_site_fract_x
_atom_site_fract_y
_atom_site_fract_z
_atom_site_occupancy
Zr1 Zr 0.000 0.000 0.000 1
Be1 Be 0.500 0.500 0.500 1
Be2 Be 0.750 0.750 0.750 1
Si1 Si 0.250 0.250 0.250 1
```

Computed properties:
- Space group: F-43m, No. 216

=====

What energy relative to the elements, uncorrected values result from the calculations? In sequence: -0.287; -0.065; -0.188; 0.242 eV/atom.